Pr6Ge2TeS3: relaxed, PBE.

uncorrected formation energy: -18.62 eV per formula unit
total moment: 0.000 μB per cell
mass density: 6.1 g/cm3
uncorrected energy: -6.005 eV/atom

Unit cell a=9.5081 b=9.5081 c=8.5707 alpha=102.01 beta=102.01 gamma=25.94
Atoms (fractional coordinates):
Pr: 0.0024 0.0024 0.2740
Pr: 0.3259 0.3259 0.9069
Pr: 0.3331 0.3331 0.4154
Pr: 0.6669 0.6669 0.5846
Pr: 0.6741 0.6741 0.0931
Pr: 0.9976 0.9976 0.7260
Ge: 0.1667 0.1667 0.3337
Ge: 0.8333 0.8333 0.6663
Te: 0.5000 0.5000 0.0000
S: 0.1645 0.1645 0.8353
S: 0.5000 0.5000 0.5000
S: 0.8355 0.8355 0.1647